No. 1
Rb2Li2Cu: optimized geometry, GGA-PBE.

Values from the calculation:
electronic total energy	-1.6636	eV per atom
ΔE_f	308	meV/atom
DOS(E_F)	0.448	states/eV per atom
space-group type	No. 127

Lattice parameters (Å, degrees): 7.541 7.541 6.248 90.00 90.00 90.00
Fractional positions:
Rb  0.193  0.307  0.000
Rb  0.307  0.807  0.000
Rb  0.693  0.193  0.000
Rb  0.807  0.693  0.000
Li  0.159  0.659  0.500
Li  0.341  0.159  0.500
Li  0.659  0.841  0.500
Li  0.841  0.341  0.500
Cu  0.000  0.000  0.500
Cu  0.500  0.500  0.500

=====

No. 2
Nb2Pd3Pt2: optimized geometry, GGA-PBE.

Values from the calculation:
electronic total energy	-7.0558	eV per atom
ΔE_f	-227	meV/atom
DOS(E_F)	0.955	states/eV per atom
E above lowest polymorph	0.0	meV per atom
space-group type	No. 10

Lattice parameters (Å, degrees): 4.397 2.750 9.908 90.00 102.86 90.00
Fractional positions:
Nb  0.079  0.000  0.159
Nb  0.921  0.000  0.841
Pd  0.214  0.500  0.427
Pd  0.500  0.500  0.000
Pd  0.786  0.500  0.573
Pt  0.363  0.500  0.725
Pt  0.637  0.500  0.275

=====

No. 3
Tl2HgW: optimized geometry, GGA-PBE.

Values from the calculation:
electronic total energy	-3.3832	eV per atom
ΔE_f	1114	meV/atom
DOS(E_F)	0.439	states/eV per atom
E above lowest polymorph	397.8	meV per atom
space-group type	No. 122

Lattice parameters (Å, degrees): 10.702 10.702 10.702 156.75 156.75 33.12
Fractional positions:
Tl  0.103  0.625  0.978
Tl  0.375  0.353  0.478
Tl  0.647  0.125  0.022
Tl  0.875  0.897  0.522
Hg  0.250  0.750  0.500
Hg  0.500  0.500  0.000
W  0.000  0.000  0.000
W  0.750  0.250  0.500

=====

No. 4
Mn2GeMoPd: optimized geometry, GGA-PBE.

Values from the calculation:
electronic total energy	-6.5738	eV per atom
ΔE_f	1222	meV/atom
DOS(E_F)	1.059	states/eV per atom
space-group type	No. 123

Lattice parameters (Å, degrees): 4.673 4.673 5.040 90.00 90.00 90.00
Fractional positions:
Mn  0.000  0.500  0.000
Mn  0.500  0.000  0.000
Ge  0.000  0.000  0.500
Mo  0.500  0.500  0.000
Pd  0.500  0.500  0.500

=====

No. 5
Na3TeH: optimized geometry, GGA-PBE.

Values from the calculation:
electronic total energy	-2.5848	eV per atom
DOS(E_F)	0.000	states/eV per atom
E above lowest polymorph	147.4	meV per atom
space-group type	No. 194

Lattice parameters (Å, degrees): 5.213 5.213 9.752 90.00 90.00 120.00
Fractional positions:
Na  0.000  0.000  0.250
Na  0.000  0.000  0.750
Na  0.333  0.667  0.071
Na  0.333  0.667  0.429
Na  0.667  0.333  0.571
Na  0.667  0.333  0.929
Te  0.333  0.667  0.750
Te  0.667  0.333  0.250
H  0.000  0.000  0.000
H  0.000  0.000  0.500

=====

No. 6
Ta2MnZn2: optimized geometry, GGA-PBE.

Values from the calculation:
electronic total energy	-6.8521	eV per atom
ΔE_f	232	meV/atom
DOS(E_F)	0.627	states/eV per atom
space-group type	No. 127

Lattice parameters (Å, degrees): 6.550 6.550 3.535 90.00 90.00 90.00
Fractional positions:
Ta  0.175  0.325  0.000
Ta  0.325  0.825  0.000
Ta  0.675  0.175  0.000
Ta  0.825  0.675  0.000
Mn  0.000  0.000  0.500
Mn  0.500  0.500  0.500
Zn  0.129  0.629  0.500
Zn  0.371  0.129  0.500
Zn  0.629  0.871  0.500
Zn  0.871  0.371  0.500